<a>
Tb3Sm7Er2 | PBE | relaxed

Calculated values
The space group is No. 65. The size of the total moment comes out at 0.0 μB/f.u.

a b c (Å): 19.273 19.273 3.610
angles (deg): 90.00 90.00 162.80
Sites, in units of the cell vectors:
Tb  0.000  0.000  0.000
Tb  0.185  0.815  0.000
Tb  0.815  0.185  0.000
Sm  0.093  0.907  0.500
Sm  0.268  0.732  0.500
Sm  0.427  0.573  0.000
Sm  0.500  0.500  0.500
Sm  0.573  0.427  0.000
Sm  0.732  0.268  0.500
Sm  0.907  0.093  0.500
Er  0.352  0.648  0.500
Er  0.648  0.352  0.500

=====

<b>
Tb3Sm7Er2 | PBE | relaxed

Calculated values
The space group is No. 166. The size of the total moment comes out at 0.0 μB/f.u.

a b c (Å): 11.814 11.814 11.814
angles (deg): 32.22 32.22 32.22
Sites, in units of the cell vectors:
Tb  0.000  0.000  0.000
Tb  0.152  0.152  0.152
Tb  0.848  0.848  0.848
Sm  0.079  0.587  0.587
Sm  0.413  0.413  0.921
Sm  0.413  0.921  0.413
Sm  0.500  0.500  0.500
Sm  0.587  0.079  0.587
Sm  0.587  0.587  0.079
Sm  0.921  0.413  0.413
Er  0.334  0.334  0.334
Er  0.666  0.666  0.666

=====

<a> ends up most stable, edging out the next structure by 17.8 kJ/mol of atoms.

=====

<a>
Tb4Sm3Er4 | PBE | relaxed

Calculated values
The space group is No. 38. The size of the total moment comes out at 0.0 μB/f.u.

a b c (Å): 10.562 6.637 6.637
angles (deg): 50.56 90.00 90.00
Sites, in units of the cell vectors:
Tb  0.000  0.000  0.000
Tb  0.212  0.794  0.794
Tb  0.500  0.929  0.929
Tb  0.788  0.794  0.794
Sm  0.000  0.296  0.296
Sm  0.292  0.450  0.450
Sm  0.708  0.450  0.450
Er  0.000  0.596  0.596
Er  0.297  0.144  0.144
Er  0.500  0.657  0.657
Er  0.703  0.144  0.144

=====

<b>
Tb4Sm3Er4 | PBE | relaxed

Calculated values
The space group is No. 2. The size of the total moment comes out at 0.0 μB/f.u.

a b c (Å): 3.560 5.022 19.823
angles (deg): 97.26 95.14 90.01
Sites, in units of the cell vectors:
Tb  0.046  0.046  0.092
Tb  0.317  0.318  0.635
Tb  0.683  0.682  0.365
Tb  0.954  0.954  0.908
Sm  0.137  0.137  0.274
Sm  0.500  0.500  0.000
Sm  0.863  0.863  0.726
Er  0.228  0.227  0.455
Er  0.409  0.409  0.818
Er  0.591  0.591  0.182
Er  0.772  0.773  0.545

=====

<b> ends up most stable, edging out the next structure by 13.4 kJ/mol of atoms.

=====

<a>
Tb12Sm2Er5 | PBE | relaxed

Calculated values
The space group is No. 12. The size of the total moment comes out at 0.0 μB/f.u.

a b c (Å): 10.004 10.004 10.906
angles (deg): 105.63 105.63 39.91
Sites, in units of the cell vectors:
Tb  0.027  0.027  0.364
Tb  0.053  0.546  0.894
Tb  0.087  0.599  0.379
Tb  0.356  0.356  0.660
Tb  0.401  0.913  0.621
Tb  0.454  0.947  0.106
Tb  0.546  0.053  0.894
Tb  0.599  0.087  0.379
Tb  0.644  0.644  0.340
Tb  0.913  0.401  0.621
Tb  0.947  0.454  0.106
Tb  0.973  0.973  0.636
Sm  0.244  0.756  0.000
Sm  0.756  0.244  0.000
Er  0.125  0.125  0.857
Er  0.198  0.198  0.381
Er  0.500  0.500  0.500
Er  0.802  0.802  0.619
Er  0.875  0.875  0.143

=====

<b>
Tb12Sm2Er5 | PBE | relaxed

Calculated values
The space group is No. 12. The size of the total moment comes out at 0.0 μB/f.u.

a b c (Å): 9.114 9.114 8.531
angles (deg): 90.87 90.87 60.66
Sites, in units of the cell vectors:
Tb  0.059  0.059  0.333
Tb  0.066  0.681  0.342
Tb  0.163  0.526  0.758
Tb  0.319  0.934  0.658
Tb  0.408  0.408  0.117
Tb  0.474  0.837  0.242
Tb  0.526  0.163  0.758
Tb  0.592  0.592  0.883
Tb  0.681  0.066  0.342
Tb  0.837  0.474  0.242
Tb  0.934  0.319  0.658
Tb  0.941  0.941  0.667
Sm  0.180  0.820  0.000
Sm  0.820  0.180  0.000
Er  0.198  0.198  0.012
Er  0.269  0.269  0.426
Er  0.500  0.500  0.500
Er  0.731  0.731  0.574
Er  0.802  0.802  0.988

=====

<b> ends up most stable, edging out the next structure by 25.8 kJ/mol of atoms.

=====

<a>
Tb4SmEr2 | PBE | relaxed

Calculated values
The space group is No. 12. The size of the total moment comes out at 0.0 μB/f.u.

a b c (Å): 8.527 8.527 8.732
angles (deg): 118.62 118.62 23.85
Sites, in units of the cell vectors:
Tb  0.140  0.140  0.332
Tb  0.205  0.205  0.794
Tb  0.795  0.795  0.206
Tb  0.860  0.860  0.668
Sm  0.500  0.500  0.500
Er  0.429  0.429  0.070
Er  0.571  0.571  0.930

=====

<b>
Tb4SmEr2 | PBE | relaxed

Calculated values
The space group is No. 11. The size of the total moment comes out at 0.0 μB/f.u.

a b c (Å): 6.110 6.550 11.514
angles (deg): 90.00 104.35 90.00
Sites, in units of the cell vectors:
Tb  0.148  0.006  0.288
Tb  0.148  0.494  0.288
Tb  0.213  0.250  0.571
Tb  0.349  0.750  0.841
Tb  0.651  0.250  0.159
Tb  0.787  0.750  0.429
Tb  0.852  0.506  0.712
Tb  0.852  0.994  0.712
Sm  0.468  0.750  0.142
Sm  0.532  0.250  0.858
Er  0.103  0.250  0.996
Er  0.350  0.750  0.555
Er  0.650  0.250  0.445
Er  0.897  0.750  0.004

=====

<a> ends up most stable, edging out the next structure by 9.4 kJ/mol of atoms.

=====

<a>
Tb2Sm2Er | PBE | relaxed

Calculated values
The space group is No. 15. The size of the total moment comes out at 0.0 μB/f.u.

a b c (Å): 8.511 8.511 6.775
angles (deg): 102.86 102.86 43.46
Sites, in units of the cell vectors:
Tb  0.015  0.182  0.451
Tb  0.182  0.015  0.951
Tb  0.818  0.985  0.049
Tb  0.985  0.818  0.549
Sm  0.216  0.386  0.848
Sm  0.386  0.216  0.348
Sm  0.614  0.784  0.652
Sm  0.784  0.614  0.152
Er  0.417  0.583  0.250
Er  0.583  0.417  0.750

=====

<b>
Tb2Sm2Er | PBE | relaxed

Calculated values
The space group is No. 74. The size of the total moment comes out at 0.0 μB/f.u.

a b c (Å): 16.318 16.318 16.318
angles (deg): 167.34 159.84 23.88
Sites, in units of the cell vectors:
Tb  0.271  0.021  0.250
Tb  0.369  0.119  0.250
Tb  0.631  0.881  0.750
Tb  0.729  0.979  0.750
Sm  0.059  0.809  0.250
Sm  0.457  0.707  0.750
Sm  0.543  0.293  0.250
Sm  0.941  0.191  0.750
Er  0.173  0.423  0.750
Er  0.827  0.577  0.250

=====

<a> ends up most stable, edging out the next structure by 11.9 kJ/mol of atoms.

=====

<a>
Tb4Sm4Er | PBE | relaxed

Calculated values
The space group is No. 139. The size of the total moment comes out at 0.0 μB/f.u.

a b c (Å): 8.017 8.017 8.017
angles (deg): 95.72 95.72 143.18
Sites, in units of the cell vectors:
Tb  0.166  0.166  0.332
Tb  0.166  0.834  0.000
Tb  0.834  0.166  0.000
Tb  0.834  0.834  0.668
Sm  0.168  0.500  0.668
Sm  0.500  0.168  0.668
Sm  0.500  0.832  0.332
Sm  0.832  0.500  0.332
Er  0.500  0.500  0.000

=====

<b>
Tb4Sm4Er | PBE | relaxed

Calculated values
The space group is No. 2. The size of the total moment comes out at 0.0 μB/f.u.

a b c (Å): 5.577 6.859 8.826
angles (deg): 111.28 108.33 90.03
Sites, in units of the cell vectors:
Tb  0.075  0.381  0.148
Tb  0.369  0.309  0.739
Tb  0.631  0.691  0.261
Tb  0.925  0.619  0.852
Sm  0.133  0.963  0.265
Sm  0.281  0.711  0.564
Sm  0.719  0.289  0.436
Sm  0.867  0.037  0.735
Er  0.500  0.000  0.000

=====

<a> ends up most stable, edging out the next structure by 8.5 kJ/mol of atoms.

=====

<a>
Tb3Sm2Er2 | PBE | relaxed

Calculated values
The space group is No. 12. The size of the total moment comes out at 0.0 μB/f.u.

a b c (Å): 8.912 8.912 8.527
angles (deg): 118.56 118.56 22.67
Sites, in units of the cell vectors:
Tb  0.000  0.000  0.000
Tb  0.212  0.212  0.299
Tb  0.788  0.788  0.701
Sm  0.434  0.434  0.588
Sm  0.566  0.566  0.412
Er  0.149  0.149  0.831
Er  0.851  0.851  0.169

=====

<b>
Tb3Sm2Er2 | PBE | relaxed

Calculated values
The space group is No. 12. The size of the total moment comes out at 0.0 μB/f.u.

a b c (Å): 6.160 6.160 10.705
angles (deg): 95.53 95.53 33.62
Sites, in units of the cell vectors:
Tb  0.000  0.000  0.000
Tb  0.143  0.143  0.571
Tb  0.857  0.857  0.429
Sm  0.285  0.285  0.144
Sm  0.715  0.715  0.856
Er  0.429  0.429  0.713
Er  0.571  0.571  0.287

=====

<b> ends up most stable, edging out the next structure by 9.8 kJ/mol of atoms.

=====

<a>
Tb7Sm2Er2 | PBE | relaxed

Calculated values
The space group is No. 12. The size of the total moment comes out at 0.0 μB/f.u.

a b c (Å): 6.496 6.496 8.720
angles (deg): 98.06 98.06 93.29
Sites, in units of the cell vectors:
Tb  0.000  0.000  0.000
Tb  0.082  0.445  0.791
Tb  0.392  0.392  0.143
Tb  0.445  0.082  0.791
Tb  0.555  0.918  0.209
Tb  0.608  0.608  0.857
Tb  0.918  0.555  0.209
Sm  0.323  0.677  0.500
Sm  0.677  0.323  0.500
Er  0.148  0.148  0.405
Er  0.852  0.852  0.595

=====

<b>
Tb7Sm2Er2 | PBE | relaxed

Calculated values
The space group is No. 12. The size of the total moment comes out at 0.0 μB/f.u.

a b c (Å): 8.035 8.035 6.061
angles (deg): 106.09 106.09 91.10
Sites, in units of the cell vectors:
Tb  0.000  0.000  0.000
Tb  0.060  0.588  0.822
Tb  0.228  0.228  0.584
Tb  0.412  0.940  0.178
Tb  0.588  0.060  0.822
Tb  0.772  0.772  0.416
Tb  0.940  0.412  0.178
Sm  0.414  0.414  0.197
Sm  0.586  0.586  0.803
Er  0.216  0.784  0.500
Er  0.784  0.216  0.500

=====

<a> ends up most stable, edging out the next structure by 3.5 kJ/mol of atoms.

=====

<a>
Tb2SmEr2 | PBE | relaxed

Calculated values
The space group is No. 127. The size of the total moment comes out at 0.0 μB/f.u.

a b c (Å): 9.303 9.303 3.726
angles (deg): 90.00 90.00 90.00
Sites, in units of the cell vectors:
Tb  0.127  0.373  0.000
Tb  0.373  0.873  0.000
Tb  0.627  0.127  0.000
Tb  0.873  0.627  0.000
Sm  0.000  0.000  0.000
Sm  0.500  0.500  0.000
Er  0.171  0.671  0.500
Er  0.329  0.171  0.500
Er  0.671  0.829  0.500
Er  0.829  0.329  0.500

=====

<b>
Tb2SmEr2 | PBE | relaxed

Calculated values
The space group is No. 12. The size of the total moment comes out at 0.0 μB/f.u.

a b c (Å): 6.778 6.778 9.614
angles (deg): 107.44 107.44 50.12
Sites, in units of the cell vectors:
Tb  0.156  0.156  0.043
Tb  0.266  0.266  0.731
Tb  0.734  0.734  0.269
Tb  0.844  0.844  0.957
Sm  0.050  0.050  0.349
Sm  0.950  0.950  0.651
Er  0.358  0.358  0.422
Er  0.446  0.446  0.130
Er  0.554  0.554  0.870
Er  0.642  0.642  0.578

=====

<a> ends up most stable, edging out the next structure by 3.0 kJ/mol of atoms.

=====

<a>
Tb3SmEr2 | PBE | relaxed

Calculated values
The space group is No. 15. The size of the total moment comes out at 0.0 μB/f.u.

a b c (Å): 9.402 9.402 6.147
angles (deg): 90.08 90.08 44.39
Sites, in units of the cell vectors:
Tb  0.124  0.876  0.750
Tb  0.207  0.458  0.584
Tb  0.458  0.207  0.084
Tb  0.542  0.793  0.916
Tb  0.793  0.542  0.416
Tb  0.876  0.124  0.250
Sm  0.375  0.625  0.250
Sm  0.625  0.375  0.750
Er  0.043  0.292  0.917
Er  0.292  0.043  0.417
Er  0.708  0.957  0.583
Er  0.957  0.708  0.083

=====

<b>
Tb3SmEr2 | PBE | relaxed

Calculated values
The space group is No. 2. The size of the total moment comes out at 0.0 μB/f.u.

a b c (Å): 7.159 7.164 8.821
angles (deg): 78.25 78.28 60.03
Sites, in units of the cell vectors:
Tb  0.139  0.140  0.164
Tb  0.249  0.250  0.501
Tb  0.361  0.860  0.835
Tb  0.639  0.140  0.165
Tb  0.751  0.750  0.499
Tb  0.861  0.860  0.836
Sm  0.250  0.749  0.499
Sm  0.750  0.251  0.501
Er  0.139  0.638  0.165
Er  0.360  0.361  0.835
Er  0.640  0.639  0.165
Er  0.861  0.362  0.835

=====

<b> ends up most stable, edging out the next structure by 2.1 kJ/mol of atoms.